Computed, not measured: an optimized crystal structure of Mn2PdNO at the PBE+U level of DFT.

a b c (Å): 4.9819 4.9819 3.6652
angles (deg): 90.00 90.00 90.00
Space group P4/mmm (No. 123)
Unique sites:
Mn 0.0000 0.5000 0.0000 (multiplicity 2)
Pd 0.0000 0.0000 0.0000 (multiplicity 1)
N 0.0000 0.0000 0.5000 (multiplicity 1)
O 0.5000 0.5000 0.5000 (multiplicity 1)

Results
**Density**: 4.5 g/cm3
**Calculated total energy**: -5.96 eV/atom